Entry from the Alexandria database: a relaxed structure of LaPtBr (PBE-GGA).

Output
As for the space-group type: C2/m, No. 12. The total energy is -5.616 eV per atom. As for the uncorrected formation energy: -1403 meV per atom. The total moment comes out at 0.00 Bohr magnetons per cell.

Geometry as CIF:
```
data_LaPtBr
_chemical_formula_sum 'La4 Pt4 Br4'
_space_group_name_H-M_alt 'P 1'
_space_group_IT_number 1
_cell_length_a 7.4333
_cell_length_b 4.2987
_cell_length_c 12.4312
_cell_angle_alpha 90.00
_cell_angle_beta 103.57
_cell_angle_gamma 90.00
loop_
_space_group_symop_operation_xyz
'x,y,z'
loop_
_atom_site_label
_atom_site_type_symbol
_atom_site_fract_x
_atom_site_fract_y
_atom_site_fract_z
La1 La 0.0891 0.0000 0.3073
La2 La 0.4109 0.5000 0.6927
La3 La 0.5891 0.5000 0.3073
La4 La 0.9109 0.0000 0.6927
Pt1 Pt 0.1930 0.0000 0.5640
Pt2 Pt 0.3070 0.5000 0.4360
Pt3 Pt 0.6930 0.5000 0.5640
Pt4 Pt 0.8070 0.0000 0.4360
Br1 Br 0.1386 0.5000 0.8492
Br2 Br 0.3614 0.0000 0.1508
Br3 Br 0.6386 0.0000 0.8492
Br4 Br 0.8614 0.5000 0.1508
```